# Ca2ZrTl (PBE-GGA, optimized geometry)
data_Ca2ZrTl
_chemical_formula_sum 'Ca6 Zr3 Tl3'
_symmetry_space_group_name_H-M 'R -3 m'
_symmetry_Int_Tables_number 166
_symmetry_space_group_name_Hall '-R 3 2"'
_cell_length_a 3.4798
_cell_length_b 3.4798
_cell_length_c 33.6722
_cell_angle_alpha 90.00
_cell_angle_beta 90.00
_cell_angle_gamma 120.00
loop_
_atom_site_label
_atom_site_type_symbol
_atom_site_fract_x
_atom_site_fract_y
_atom_site_fract_z
Ca1 Ca 0.0000 0.0000 0.2482
Zr1 Zr 0.0000 0.0000 0.0000
Tl1 Tl 0.0000 0.0000 0.5000
# Crystal system ... trigonal
# D(E_F) ... 15.38 states/eV/cell
# Calculated formation energy ... 0.102 eV per atom
# Magnetization ... 0.00 μB/cell

---

# Ca2ZrTl (PBE-GGA, optimized geometry)
data_Ca2ZrTl
_chemical_formula_sum 'Ca4 Zr2 Tl2'
_symmetry_space_group_name_H-M 'C 1 m 1'
_symmetry_Int_Tables_number 8
_cell_length_a 12.891
_cell_length_b 3.726
_cell_length_c 5.483
_cell_angle_alpha 90.00
_cell_angle_beta 115.11
_cell_angle_gamma 90.00
loop_
_symmetry_equiv_pos_as_xyz
'x,y,z'
'x,-y,z'
'x+1/2,y+1/2,z'
'x+1/2,-y+1/2,z'
loop_
_atom_site_label
_atom_site_type_symbol
_atom_site_fract_x
_atom_site_fract_y
_atom_site_fract_z
Ca1 Ca 0.000 0.000 0.000
Ca2 Ca 0.213 0.000 0.713
Zr1 Zr 0.277 0.500 0.277
Tl1 Tl 0.478 0.000 0.478
# Crystal system ... monoclinic
# D(E_F) ... 7.58 states/eV/cell
# Calculated formation energy ... 0.071 eV per atom
# Magnetization ... 0.00 μB/cell

---

# CaZrTl2 (PBE-GGA, optimized geometry)
data_CaZrTl2
_chemical_formula_sum 'Ca2 Zr2 Tl4'
_symmetry_space_group_name_H-M 'C m m 2'
_symmetry_Int_Tables_number 35
_cell_length_a 3.688
_cell_length_b 5.714
_cell_length_c 10.568
_cell_angle_alpha 90.00
_cell_angle_beta 90.00
_cell_angle_gamma 90.00
loop_
_symmetry_equiv_pos_as_xyz
'x,y,z'
'-x,-y,z'
'-x,y,z'
'x,-y,z'
'x+1/2,y+1/2,z'
'-x+1/2,-y+1/2,z'
'-x+1/2,y+1/2,z'
'x+1/2,-y+1/2,z'
loop_
_atom_site_label
_atom_site_type_symbol
_atom_site_fract_x
_atom_site_fract_y
_atom_site_fract_z
Ca1 Ca 0.000 0.000 0.000
Zr1 Zr 0.000 0.500 0.260
Tl1 Tl 0.000 0.000 0.493
Tl2 Tl 0.000 0.500 0.739
# Crystal system ... orthorhombic
# D(E_F) ... 7.77 states/eV/cell
# Calculated formation energy ... 0.130 eV per atom
# Magnetization ... 0.31 μB/cell